No. 1
CaSnN2F: optimized geometry, GGA-PBE.

Structure (POSCAR):
```
CaSnN2F
1.0
4.6255 0.0000 0.0000
0.0000 4.6255 0.0000
0.0000 0.0000 4.1937
Ca Sn N F
1 1 2 1
Direct
0.0000 0.0000 0.0000 Ca
0.5000 0.5000 0.5000 Sn
0.0000 0.5000 0.0000 N
0.5000 0.0000 0.0000 N
0.0000 0.0000 0.5000 F
```

Summary:
Total DFT energy (no corrections), eV/f.u.: -23.6
ρ, Mg/m³: 3.81
E above lowest polymorph, eV/atom: 0.758
Calculated volume, Å³/atom: 17.95

---

No. 2
CaSnN2F: optimized geometry, GGA-PBE.

Structure (POSCAR):
```
CaSnN2F
1.0
4.1209 0.0000 0.0000
0.0000 4.1209 0.0000
0.0000 0.0000 4.2888
Ca Sn N F
1 1 2 1
Direct
0.0000 0.0000 0.0000 Ca
0.5000 0.5000 0.5000 Sn
0.0000 0.5000 0.5000 N
0.5000 0.0000 0.5000 N
0.5000 0.5000 0.0000 F
```

Summary:
Total DFT energy (no corrections), eV/f.u.: -27.4
ρ, Mg/m³: 4.69
E above lowest polymorph, eV/atom: 0.000
Calculated volume, Å³/atom: 14.57

---

No. 3
CaTaNF2: optimized geometry, GGA-PBE.

Structure (POSCAR):
```
CaTaNF2
1.0
3.9383 0.0000 0.0000
0.0000 3.9383 0.0000
0.0000 0.0000 5.3636
Ca Ta N F
1 1 1 2
Direct
0.0000 0.0000 0.0000 Ca
0.5000 0.5000 0.5000 Ta
0.0000 0.0000 0.5000 N
0.0000 0.5000 0.0000 F
0.5000 0.0000 0.0000 F
```

Summary:
Total DFT energy (no corrections), eV/f.u.: -29.3
ρ, Mg/m³: 5.45
E above lowest polymorph, eV/atom: 0.974
Calculated volume, Å³/atom: 16.64

---

No. 4
Ca5TaN4F2: optimized geometry, GGA-PBE.

Structure (POSCAR):
```
Ca5TaN4F2
1.0
7.0194 0.0000 0.0000
0.0000 4.8624 2.9152
0.0000 -4.8624 2.9152
Ca Ta N F
5 1 4 2
Direct
0.0000 0.0000 0.0000 Ca
0.2728 0.3165 0.6681 Ca
0.2728 0.6681 0.3165 Ca
0.7272 0.3165 0.6681 Ca
0.7272 0.6681 0.3165 Ca
0.5000 0.0032 0.0032 Ta
0.2769 0.2067 0.2067 N
0.5000 0.6402 0.9745 N
0.5000 0.9745 0.6402 N
0.7231 0.2067 0.2067 N
0.0000 0.0405 0.5974 F
0.0000 0.5974 0.0405 F
```

Summary:
Total DFT energy (no corrections), eV/f.u.: -79.8
ρ, Mg/m³: 3.97
Calculated volume, Å³/atom: 16.58